No. 1
11
Lattice="4.4050 -7.5581 0.0000 4.4050 7.5581 0.0000 -2.3980 0.0000 5.0370" Properties=species:S:1:pos:R:3 comment="Ho8TmIn2 PBE optimized geometry" dos_ef_per_ev_cell=15.13 density_g_cm3=8.5 e_tot_ev_per_atom=-4.266 ef_ev_per_atom=-0.033 pbc="T T T"
Ho 0.3474 1.7295 3.1421
Ho 4.4050 4.3136 0.0000
Ho 0.3474 -1.7295 3.1421
Ho 3.0655 0.0000 1.0223
Ho 3.3465 0.0000 4.0146
Ho 6.0646 1.7295 1.8948
Ho 4.4050 -4.3136 0.0000
Ho 6.0646 -1.7295 1.8948
Tm 0.0000 0.0000 0.0000
In 3.2060 2.9216 2.5185
In 3.2060 -2.9216 2.5185

No. 2
20
Lattice="5.2261 -7.6556 0.0000 5.2261 7.6556 0.0000 0.0000 0.0000 7.5860" Properties=species:S:1:pos:R:3 comment="Ho6TmIn3 PBE optimized geometry" relative_energy_mev_per_atom=140.4 dos_ef_per_ev_cell=24.97 density_g_cm3=8.2 e_tot_ev_per_atom=-4.138 ef_ev_per_atom=-0.123 pbc="T T T"
Ho 5.2261 6.9699 3.7930
Ho 2.7680 2.8597 7.5735
Ho 2.7659 0.5068 5.2145
Ho 2.7659 -0.5068 1.4214
Ho 5.2261 3.0219 4.9455
Ho 2.7680 -2.8597 3.7805
Ho 7.6842 2.8597 7.5735
Ho 5.2261 -3.0219 1.1524
Ho 7.6862 0.5068 5.2145
Ho 7.6862 -0.5068 1.4214
Ho 7.6842 -2.8597 3.7805
Ho 5.2261 -6.9699 0.0000
Tm 5.2261 4.5701 1.6038
Tm 5.2261 -4.5701 5.3969
In 1.5213 2.0709 2.7288
In 1.5213 -2.0709 6.5219
In 5.2261 0.7971 7.3442
In 5.2261 -0.7971 3.5512
In 8.9308 2.0709 2.7288
In 8.9308 -2.0709 6.5219